VASP calculation (PBE) on crystalline MnTc2Pt at its relaxed geometry.

The structure belongs to space group Pm (No. 6); the cell edges are 2.671, 4.186 and 5.262 Å and the angles 90.00°, 104.68° and 90.00°. Symmetry generates all atoms from Mn at (0.000, 0.000, 0.000), Tc at (0.398, 0.500, 0.800), Tc at (0.756, 0.000, 0.515) and Pt at (0.136, 0.500, 0.275).

The calculation puts the relative energy among the computed polymorphs at 62.1 meV per atom. For the density, the calculation gives 13.0 g cm⁻³.